No. 1
Compound: Pm6Sn5Au
Source: Alexandria
Functional: PBE-GGA
Structure: relaxed

## Properties
Volume: 27.76 A^3/atom
Formation enthalpy at 0 K: -676 meV per atom

Unit cell a=9.1113 b=9.1113 c=5.0469 alpha=106.05 beta=106.05 gamma=113.17
Sites, in units of the cell vectors:
Pm (0.0775, 0.4091, 0.7434)
Pm (0.2350, 0.2350, 0.2355)
Pm (0.4091, 0.0775, 0.7434)
Pm (0.5909, 0.9225, 0.2566)
Pm (0.7650, 0.7650, 0.7645)
Pm (0.9225, 0.5909, 0.2566)
Sn (0.1707, 0.8293, 0.0000)
Sn (0.3401, 0.6599, 0.5000)
Sn (0.5000, 0.5000, 0.0000)
Sn (0.6599, 0.3401, 0.5000)
Sn (0.8293, 0.1707, 0.0000)
Au (0.0000, 0.0000, 0.5000)

No. 2
Compound: CaCr2Sn2
Source: Alexandria
Functional: PBE-GGA
Structure: relaxed

## Properties
Volume: 20.69 A^3/atom
Formation enthalpy at 0 K: 206 meV per atom
Energy above the most stable polymorph in this dataset: 113.7 meV per atom

Unit cell a=6.9687 b=6.9687 c=6.9687 alpha=146.35 beta=146.35 gamma=48.32
Sites, in units of the cell vectors:
Ca (0.0000, 0.0000, 0.0000)
Cr (0.2500, 0.7500, 0.5000)
Cr (0.7500, 0.2500, 0.5000)
Sn (0.3836, 0.3836, 0.0000)
Sn (0.6164, 0.6164, 0.0000)

No. 3
Compound: Zn2CdSb
Source: Alexandria
Functional: PBE-GGA
Structure: relaxed

## Properties
Volume: 20.87 A^3/atom
Energy above the most stable polymorph in this dataset: 59.2 meV per atom
E_form (uncorrected): 0.156 eV/atom

Unit cell a=4.4857 b=4.4857 c=4.1494 alpha=90.00 beta=90.00 gamma=90.00
Sites, in units of the cell vectors:
Zn (0.0000, 0.5000, 0.0000)
Zn (0.5000, 0.0000, 0.0000)
Cd (0.0000, 0.0000, 0.5000)
Sb (0.5000, 0.5000, 0.5000)

Repeat the second record exactly.
Compound: CaCr2Sn2
Source: Alexandria
Functional: PBE-GGA
Structure: relaxed

## Properties
Volume: 20.69 A^3/atom
Formation enthalpy at 0 K: 206 meV per atom
Energy above the most stable polymorph in this dataset: 113.7 meV per atom

Unit cell a=6.9687 b=6.9687 c=6.9687 alpha=146.35 beta=146.35 gamma=48.32
Sites, in units of the cell vectors:
Ca (0.0000, 0.0000, 0.0000)
Cr (0.2500, 0.7500, 0.5000)
Cr (0.7500, 0.2500, 0.5000)
Sn (0.3836, 0.3836, 0.0000)
Sn (0.6164, 0.6164, 0.0000)

Which value of volume does entry 1 give?
27.76 A^3/atom

volume of number 3 (Zn2CdSb)?
20.87 A^3/atom